VASP calculation (PBE-GGA) on ScZn2C after structural relaxation.

Computed properties:
Formation energy from the elements, eV/atom: 0.243
Calculated volume, A^3/atom: 14.8
Total magnetic moment, μB per cell: 0.0
Space-group type: I-42d, No. 122

Cell: 7.2065 7.2065 5.5802 Å, 49.78 49.78 90.00°
Fractional coordinates of all 8 atoms:
C (0.2500, 0.7500, 0.5000)
C (0.5000, 0.5000, 0.0000)
Sc (0.0000, 0.0000, 0.0000)
Sc (0.7500, 0.2500, 0.5000)
Zn (0.8750, 0.7861, 0.7500)
Zn (0.5361, 0.1250, 0.2500)
Zn (0.2139, 0.6250, 0.2500)
Zn (0.3750, 0.4639, 0.7500)